(1)
Here is an optimized crystal structure of MnCoI6 from the Alexandria database. Energies are from GGA-PBE.

- formation energy without anion corrections (meV/atom) = -102.8
- symmetry = C2/m (12)
- M_tot (μB per formula unit) = 4.2

Cell lengths 6.903, 12.954, 6.898 Å; angles 90.00, 113.35, 90.00 degrees
Atoms (fractional coordinates):
Mn 0.000 0.000 0.000
Mn 0.500 0.500 0.000
Co 0.000 0.500 0.500
Co 0.500 0.000 0.500
I 0.234 0.500 0.267
I 0.240 0.357 0.742
I 0.240 0.643 0.742
I 0.260 0.143 0.258
I 0.260 0.857 0.258
I 0.266 0.000 0.733
I 0.734 0.000 0.267
I 0.740 0.143 0.742
I 0.740 0.857 0.742
I 0.760 0.357 0.258
I 0.760 0.643 0.258
I 0.766 0.500 0.733



(2)
Here is an optimized crystal structure of CaV2ZnCo from the Alexandria database. Energies are from GGA-PBE.

- DFT formation energy (meV/atom) = 706
- symmetry = P4/mmm (123)
- M_tot (μB per formula unit) = 4.2

Cell lengths 4.450, 4.450, 5.208 Å; angles 90.00, 90.00, 90.00 degrees
Atoms (fractional coordinates):
Ca 0.000 0.000 0.000
V 0.000 0.500 0.500
V 0.500 0.000 0.500
Zn 0.500 0.500 0.000
Co 0.000 0.000 0.500



(3)
Here is an optimized crystal structure of KAuOF2 from the Alexandria database. Energies are from GGA-PBE.

- formation energy without anion corrections (meV/atom) = -1203.7
- energy above the most stable polymorph in this dataset (meV/atom) = 0
- symmetry = P4/mmm (123)
- M_tot (μB per formula unit) = 0.8

Cell lengths 4.639, 4.639, 3.940 Å; angles 90.00, 90.00, 90.00 degrees
Atoms (fractional coordinates):
K 0.000 0.000 0.000
Au 0.500 0.500 0.500
O 0.500 0.500 0.000
F 0.000 0.500 0.500
F 0.500 0.000 0.500



(4)
Here is an optimized crystal structure of Ce2PrHoTl4 from the Alexandria database. Energies are from GGA-PBE.

- DFT formation energy (meV/atom) = -280
- symmetry = R-3m (166)
- M_tot (μB per formula unit) = 2.2

Cell lengths 9.529, 9.529, 9.529 Å; angles 33.45, 33.45, 33.45 degrees
Atoms (fractional coordinates):
Ce 0.249 0.249 0.249
Ce 0.751 0.751 0.751
Pr 0.000 0.000 0.000
Ho 0.500 0.500 0.500
Tl 0.126 0.126 0.126
Tl 0.377 0.377 0.377
Tl 0.623 0.623 0.623
Tl 0.874 0.874 0.874



The lowest M_tot belongs to which entry? KAuOF2